No. 1
Crystalline SrLaCd2Pd at its relaxed geometry. Source: Alexandria via LeMat-Bulk, functional PBE.

Cell lengths 5.667, 5.667, 6.272 Å; angles 90.00, 90.00, 90.00 degrees
Space group P4/mmm (No. 123)
One atom of each set of equivalent atoms:
1 Sr 0.000 0.000 0.000
2 La 0.000 0.000 0.500
3 Cd 0.000 0.500 0.000
4 Pd 0.500 0.500 0.500


No. 2
Crystalline Sr2LaCdPd at its relaxed geometry. Source: Alexandria via LeMat-Bulk, functional PBE.

Cell lengths 5.949, 5.949, 5.566 Å; angles 90.00, 90.00, 90.00 degrees
Space group P4/mmm (No. 123)
One atom of each set of equivalent atoms:
1 Sr 0.000 0.500 0.000
2 La 0.000 0.000 0.500
3 Cd 0.500 0.500 0.500
4 Pd 0.000 0.000 0.000


No. 3
Crystalline LaTaCd2Pd at its relaxed geometry. Source: Alexandria via LeMat-Bulk, functional PBE.

Cell lengths 5.359, 5.359, 4.831 Å; angles 90.00, 90.00, 90.00 degrees
Space group P4/mmm (No. 123)
One atom of each set of equivalent atoms:
1 La 0.000 0.000 0.000
2 Ta 0.500 0.500 0.500
3 Cd 0.000 0.500 0.500
4 Pd 0.500 0.500 0.000


No. 4
Crystalline LaTbCdPd at its relaxed geometry. Source: Alexandria via LeMat-Bulk, functional PBE.

Cell lengths 7.456, 7.456, 7.456 Å; angles 90.00, 90.00, 90.00 degrees
Space group F-43m (No. 216)
One atom of each set of equivalent atoms:
1 La 0.000 0.000 0.000
2 Tb 0.000 0.000 0.500
3 Cd 0.250 0.250 0.250
4 Pd 0.250 0.250 0.750


No. 5
Crystalline LaTl2CdPd at its relaxed geometry. Source: Alexandria via LeMat-Bulk, functional PBE.

Cell lengths 6.306, 6.306, 5.147 Å; angles 90.00, 90.00, 90.00 degrees
Space group P4/mmm (No. 123)
One atom of each set of equivalent atoms:
1 La 0.000 0.000 0.000
2 Tl 0.000 0.500 0.000
3 Cd 0.500 0.500 0.500
4 Pd 0.000 0.000 0.500


No. 6
Crystalline LaTlCdPd at its relaxed geometry. Source: Alexandria via LeMat-Bulk, functional PBE.

Cell lengths 7.293, 7.293, 7.293 Å; angles 90.00, 90.00, 90.00 degrees
Space group F-43m (No. 216)
One atom of each set of equivalent atoms:
1 La 0.000 0.000 0.000
2 Tl 0.250 0.250 0.750
3 Cd 0.000 0.000 0.500
4 Pd 0.250 0.250 0.250


Across the entries above, final energy takes the values -1.6359; -3.1250; -4.3306; -4.4095; -2.6306; -3.7788 eV/atom, respectively.
Across the entries above, V takes the values 40.3; 39.4; 27.7; 25.9; 40.9; 24.2 Å³ per atom, respectively.
Across the entries above, formation enthalpy at 0 K takes the values 1.091; -0.245; 0.430; -0.493; 0.523; -0.428 eV per atom, respectively.